1.
Computed, not measured: crystalline Y4InCo at its relaxed geometry at the PBE-GGA level of DFT.

Calculated values
E ... -6.26 eV/atom
M_tot ... 0.00 μB per atom
Excess energy over the best structure of this formula in the dataset ... 0.00 eV/f.u.
SG ... F-43m (216)

Cell: 9.5834 9.5834 9.5834 Å, 60.00 60.00 60.00°
Last column: nearest neighbours and their distance in Å.
Fractional coordinates of all 24 atoms:
Y (0.0602, 0.0602, 0.4398)  2 Co 2.78
Y (0.0602, 0.4398, 0.0602)  2 Co 2.78
Y (0.0602, 0.4398, 0.4398)  2 Co 2.78
Y (0.1896, 0.1896, 0.8104)  2 In 3.22, 2 Co 3.44, 6 Y 3.44-3.58
Y (0.1896, 0.8104, 0.1896)  2 In 3.22, 2 Co 3.44, 6 Y 3.44-3.58
Y (0.1896, 0.8104, 0.8104)  2 In 3.22, 2 Co 3.44, 6 Y 3.44-3.58
Y (0.2080, 0.5973, 0.5973)  3 Co 2.81
Y (0.4398, 0.0602, 0.0602)  2 Co 2.78
Y (0.4398, 0.0602, 0.4398)  2 Co 2.78
Y (0.4398, 0.4398, 0.0602)  2 Co 2.78
Y (0.5973, 0.2080, 0.5973)  3 Co 2.81
Y (0.5973, 0.5973, 0.2080)  3 Co 2.81
Y (0.5973, 0.5973, 0.5973)  3 Co 2.81
Y (0.8104, 0.1896, 0.1896)  2 In 3.22, 2 Co 3.44, 6 Y 3.44-3.58
Y (0.8104, 0.1896, 0.8104)  2 In 3.22, 2 Co 3.44, 6 Y 3.44-3.58
Y (0.8104, 0.8104, 0.1896)  2 In 3.22, 2 Co 3.44, 6 Y 3.44-3.58
In (0.5020, 0.8327, 0.8327)  3 In 3.17, 9 Y 3.22-3.47
In (0.8327, 0.5020, 0.8327)  3 In 3.17, 9 Y 3.22-3.47
In (0.8327, 0.8327, 0.5020)  3 In 3.17, 9 Y 3.22-3.47
In (0.8327, 0.8327, 0.8327)  3 In 3.17, 9 Y 3.22-3.47
Co (0.3906, 0.3906, 0.3906)  6 Y 2.78-2.81
Co (0.3906, 0.3906, 0.8283)  6 Y 2.78-2.81
Co (0.3906, 0.8283, 0.3906)  6 Y 2.78-2.81
Co (0.8283, 0.3906, 0.3906)  6 Y 2.78-2.81



2.
Computed, not measured: crystalline TlAgSe2 at its relaxed geometry at the PBE-GGA level of DFT.

Calculated values
E ... -2.99 eV/atom
M_tot ... 0.00 μB per atom
E_form (uncorrected) ... 59 meV/atom
SG ... I4/mcm (140)

Cell: 8.3192 8.3192 5.7211 Å, 90.00 90.00 90.00°
Last column: nearest neighbours and their distance in Å.
Fractional coordinates of all 16 atoms:
Tl (0.0000, 0.0000, 0.2500)  2 Tl 2.86
Tl (0.0000, 0.0000, 0.7500)  2 Tl 2.86
Tl (0.5000, 0.5000, 0.2500)  2 Tl 2.86
Tl (0.5000, 0.5000, 0.7500)  2 Tl 2.86
Ag (0.0000, 0.5000, 0.2500)  4 Se 2.85, 2 Ag 2.86
Ag (0.0000, 0.5000, 0.7500)  4 Se 2.85, 2 Ag 2.86
Ag (0.5000, 0.0000, 0.2500)  4 Se 2.85, 2 Ag 2.86
Ag (0.5000, 0.0000, 0.7500)  4 Se 2.85, 2 Ag 2.86
Se (0.2097, 0.2903, 0.0000)  2 Ag 2.85, 2 Se 3.01
Se (0.2097, 0.7097, 0.5000)  2 Ag 2.85, 2 Se 3.01
Se (0.2903, 0.2097, 0.5000)  2 Ag 2.85, 2 Se 3.01
Se (0.2903, 0.7903, 0.0000)  2 Ag 2.85, 2 Se 3.01
Se (0.7097, 0.2097, 0.0000)  2 Ag 2.85, 2 Se 3.01
Se (0.7097, 0.7903, 0.5000)  2 Ag 2.85, 2 Se 3.01
Se (0.7903, 0.2903, 0.5000)  2 Ag 2.85, 2 Se 3.01
Se (0.7903, 0.7097, 0.0000)  2 Ag 2.85, 2 Se 3.01